1:
Below is NaLiAs2Br after structural relaxation, with properties calculated at the PBE level.

Summary:
- total magnetization (μB per formula unit) = 2.1
- V (A^3/atom) = 30.85
- DOS at the Fermi energy (states/eV/atom) = 0.682
- mass density (g/cm3) = 2.80

Unit cell a=5.195 b=5.195 c=5.714 alpha=90.00 beta=90.00 gamma=90.00
Space group P4/mmm (No. 123)
Symmetry-distinct sites (fractional):
Na 0.000 0.000 0.000 [1 per cell]
Li 0.500 0.500 0.500 [1 per cell]
As 0.000 0.500 0.000 [2 per cell]
Br 0.000 0.000 0.500 [1 per cell]

---

2:
Below is NaLiAs2Br after structural relaxation, with properties calculated at the PBE level.

Summary:
- total magnetization (μB per formula unit) = 0.0
- V (A^3/atom) = 25.97
- DOS at the Fermi energy (states/eV/atom) = 0.643
- mass density (g/cm3) = 3.32

Unit cell a=4.429 b=4.429 c=6.620 alpha=90.00 beta=90.00 gamma=90.00
Space group P4/mmm (No. 123)
Symmetry-distinct sites (fractional):
Na 0.000 0.000 0.000 [1 per cell]
Li 0.500 0.500 0.500 [1 per cell]
As 0.000 0.500 0.500 [2 per cell]
Br 0.500 0.500 0.000 [1 per cell]

---

The most stable structure shown above is 2; the least stable is 1.